The following is a PBE calculation of a geometry-optimized RbNaSr2 structure, from Alexandria via LeMat-Bulk.

Properties
Fermi-level density of states ... 0.848 states/eV/atom
E_form ... 150 meV per atom
Volume ... 707.4 Å³/cell
Raw total energy ... -0.046 hartree per atom
SG ... R-3m

Lattice parameters (Å, degrees): 4.2804 4.2804 44.5834 90.00 90.00 120.00
With the nearest neighbours (Å) after each atom.
Fractional coordinates of all 12 atoms:
Rb  0.0000  0.0000  0.0000  6 Rb 4.28, 2 Sr 4.29
Rb  0.3333  0.6667  0.6667  6 Rb 4.28, 2 Sr 4.29
Rb  0.6667  0.3333  0.3333  6 Rb 4.28, 2 Sr 4.29
Na  0.0000  0.0000  0.5000  6 Sr 3.99, 6 Na 4.28
Na  0.3333  0.6667  0.1667  6 Sr 3.99, 6 Na 4.28
Na  0.6667  0.3333  0.8333  6 Sr 3.99, 6 Na 4.28
Sr  0.0000  0.0000  0.0963  3 Na 3.99, 6 Sr 4.28, 1 Rb 4.29
Sr  0.0000  0.0000  0.9037  3 Na 3.99, 6 Sr 4.28, 1 Rb 4.29
Sr  0.3333  0.6667  0.5704  3 Na 3.99, 6 Sr 4.28, 1 Rb 4.29
Sr  0.3333  0.6667  0.7630  3 Na 3.99, 6 Sr 4.28, 1 Rb 4.29
Sr  0.6667  0.3333  0.2370  3 Na 3.99, 6 Sr 4.28, 1 Rb 4.29
Sr  0.6667  0.3333  0.4296  3 Na 3.99, 6 Sr 4.28, 1 Rb 4.29